# 1
# CaTm4Sb5 GGA-PBE optimized geometry
# **Raw total energy**: -5.06 eV/atom
# **Energy relative to the elements, uncorrected**: -1.01 eV per atom
data_CaTm4Sb5
_chemical_formula_sum 'Ca2 Tm8 Sb10'
_symmetry_space_group_name_H-M 'I m m m'
_symmetry_Int_Tables_number 71
_symmetry_space_group_name_Hall '-I 2 2'
_cell_length_a 4.356
_cell_length_b 6.179
_cell_length_c 21.972
_cell_angle_alpha 90.00
_cell_angle_beta 90.00
_cell_angle_gamma 90.00
loop_
_atom_site_label
_atom_site_type_symbol
_atom_site_fract_x
_atom_site_fract_y
_atom_site_fract_z
Ca1 Ca 0.000 0.000 0.000
Tm1 Tm 0.000 0.000 0.201
Tm2 Tm 0.000 0.000 0.401
Sb1 Sb 0.000 0.500 0.000
Sb2 Sb 0.000 0.500 0.199
Sb3 Sb 0.000 0.500 0.395



# 2
# Ag2HW GGA-PBE optimized geometry
# **Raw total energy**: -4.40 eV/atom
# **Polymorph energy (0 for the lowest one)**: 0 meV per atom
data_Ag2HW
_chemical_formula_sum 'Ag8 H4 W4'
_symmetry_space_group_name_H-M 'I -4 2 d'
_symmetry_Int_Tables_number 122
_symmetry_space_group_name_Hall 'I -4 2bw'
_cell_length_a 5.716
_cell_length_b 5.716
_cell_length_c 7.045
_cell_angle_alpha 90.00
_cell_angle_beta 90.00
_cell_angle_gamma 90.00
loop_
_atom_site_label
_atom_site_type_symbol
_atom_site_fract_x
_atom_site_fract_y
_atom_site_fract_z
Ag1 Ag 0.112 0.750 0.125
H1 H 0.000 0.000 0.000
W1 W 0.000 0.000 0.500



# 3
# AcZnHg3 GGA-PBE optimized geometry
# **Raw total energy**: -1.56 eV/atom
# **ΔH_f (0 K)**: -0.298 eV/atom
# **Polymorph energy (0 for the lowest one)**: 3 meV per atom
data_AcZnHg3
_chemical_formula_sum 'Ac2 Zn2 Hg6'
_symmetry_space_group_name_H-M 'C 1 m 1'
_symmetry_Int_Tables_number 8
_cell_length_a 6.654
_cell_length_b 6.693
_cell_length_c 6.675
_cell_angle_alpha 90.00
_cell_angle_beta 119.75
_cell_angle_gamma 90.00
loop_
_symmetry_equiv_pos_as_xyz
'x,y,z'
'x,-y,z'
'x+1/2,y+1/2,z'
'x+1/2,-y+1/2,z'
loop_
_atom_site_label
_atom_site_type_symbol
_atom_site_fract_x
_atom_site_fract_y
_atom_site_fract_z
Ac1 Ac 0.000 0.000 0.000
Zn1 Zn 0.120 0.500 0.239
Hg1 Hg 0.393 0.000 0.788
Hg2 Hg 0.486 0.249 0.472



# 4
# SrZn2Cd3 GGA-PBE optimized geometry
# **Raw total energy**: -1.36 eV/atom
# **ΔH_f (0 K)**: -0.200 eV/atom
# **Polymorph energy (0 for the lowest one)**: 0 meV per atom
data_SrZn2Cd3
_chemical_formula_sum 'Sr3 Zn6 Cd9'
_symmetry_space_group_name_H-M 'P 6/m m m'
_symmetry_Int_Tables_number 191
_symmetry_space_group_name_Hall '-P 6 2'
_cell_length_a 10.2630
_cell_length_b 10.2630
_cell_length_c 4.5898
_cell_angle_alpha 90.00
_cell_angle_beta 90.00
_cell_angle_gamma 120.00
loop_
_atom_site_label
_atom_site_type_symbol
_atom_site_fract_x
_atom_site_fract_y
_atom_site_fract_z
Sr1 Sr 0.0000 0.0000 0.0000
Sr2 Sr 0.3333 0.6667 0.5000
Zn1 Zn 0.1941 0.3883 0.0000
Cd1 Cd 0.0000 0.2900 0.5000
Cd2 Cd 0.0000 0.5000 0.0000